a:
PICl2: optimized geometry, PBE.

Lattice parameters (Å, degrees): 5.9749 5.2862 6.9146 70.57 68.21 97.06
Element x y z (fractional)
Cl 0.0326 0.6601 0.8013
I 0.6110 0.1888 0.5275
Cl 0.2967 0.9342 0.2550
P 0.1967 0.0463 0.5280

b:
PICl2: optimized geometry, PBE.

Lattice parameters (Å, degrees): 12.2169 12.2169 12.2169 15.81 15.81 15.81
Element x y z (fractional)
P 0.0000 0.0000 0.0000
Cl 0.0592 0.0592 0.0592
Cl 0.9408 0.9408 0.9408
I 0.5000 0.5000 0.5000

c:
PICl2: optimized geometry, PBE.

Lattice parameters (Å, degrees): 7.4837 7.4837 7.5002 60.07 60.07 90.00
Each line ends with the local moment (μB).
Element x y z (fractional)
Cl 0.8750 0.6247 0.7500  0.01
Cl 0.3750 0.6253 0.7500  0.01
Cl 0.3747 0.1250 0.2500  0.00
I 0.7500 0.2500 0.5000  -0.42
I 0.0000 0.0000 0.0000  -0.42
P 0.5000 0.5000 0.0000  0.09
Cl 0.3753 0.6250 0.2500  0.01
P 0.2500 0.7500 0.5000  0.09

d:
PICl2: optimized geometry, PBE.

Lattice parameters (Å, degrees): 5.0712 5.0712 5.0712 60.00 60.00 60.00
Element x y z (fractional)
I 0.5000 0.5000 0.5000
Cl 0.2500 0.2500 0.2500
P 0.0000 0.0000 0.0000
Cl 0.7500 0.7500 0.7500

Bottom line: a, by a margin of 0.642 eV/atom.

a:
PPbICl2: optimized geometry, PBE.

Lattice parameters (Å, degrees): 5.2669 5.2669 5.8990 90.00 90.00 90.00
Each line ends with the local moment (μB).
Element x y z (fractional)
I 0.5000 0.5000 0.5000  -0.12
P 0.0000 0.0000 0.5000  0.50
Cl 0.5000 0.0000 0.0000  0.01
Cl 0.0000 0.5000 0.0000  0.01
Pb 0.0000 0.0000 0.0000  -0.01

b:
PPbICl2: optimized geometry, PBE.

Lattice parameters (Å, degrees): 5.5471 5.5471 5.6620 90.00 90.00 90.00
Element x y z (fractional)
Cl 0.5000 0.0000 0.0000
Cl 0.0000 0.5000 0.0000
P 0.0000 0.0000 0.5000
Pb 0.5000 0.5000 0.5000
I 0.0000 0.0000 0.0000

Bottom line: a, by a margin of 0.306 eV/atom.

a:
RbPICl2: optimized geometry, PBE.

Lattice parameters (Å, degrees): 5.9473 5.9473 8.3707 90.00 90.00 90.00
Each line ends with the local moment (μB).
Element x y z (fractional)
P 0.0000 0.0000 0.5000  1.09
Cl 0.0000 0.5000 0.0000  0.32
I 0.5000 0.5000 0.5000  -0.44
Rb 0.0000 0.0000 0.0000  0.01
Cl 0.5000 0.0000 0.0000  0.32

b:
RbPICl2: optimized geometry, PBE.

Lattice parameters (Å, degrees): 6.1194 6.1194 4.9896 90.00 90.00 90.00
Element x y z (fractional)
P 0.0000 0.0000 0.5000
Cl 0.0000 0.5000 0.0000
I 0.0000 0.0000 0.0000
Rb 0.5000 0.5000 0.5000
Cl 0.5000 0.0000 0.0000

Bottom line: b, by a margin of 0.609 eV/atom.